Computed, not measured: a relaxed structure of Pr6TeAs3P2 at the PBE level of DFT.

Properties
symmetry: C2/m (12)
E_tot: -6.235 eV per atom

abc: 9.622 9.622 8.659
angles: 102.69 102.69 25.85
Fractional positions:
Pr1 0.003 0.003 0.268
Pr2 0.326 0.326 0.906
Pr3 0.331 0.331 0.420
Pr4 0.669 0.669 0.580
Pr5 0.674 0.674 0.094
Pr6 0.997 0.997 0.732
Te1 0.500 0.500 0.000
As1 0.164 0.164 0.833
As2 0.500 0.500 0.500
As3 0.836 0.836 0.167
P1 0.168 0.168 0.334
P2 0.832 0.832 0.666